[1]
Compound: Pb2AuBr
Source: Alexandria
Functional: GGA-PBEsol
Structure: optimized geometry

CIF file:
```
data_Pb2AuBr
_cell_length_a 5.4706
_cell_length_b 5.4706
_cell_length_c 3.3455
_cell_angle_alpha 90.00
_cell_angle_beta 90.00
_cell_angle_gamma 90.00
_symmetry_space_group_name_H-M 'P 1'
_symmetry_Int_Tables_number 1
loop_
_symmetry_equiv_pos_as_xyz
'x,y,z'
loop_
_atom_site_label
_atom_site_fract_x
_atom_site_fract_y
_atom_site_fract_z
Pb1 0.0000 0.5000 0.0000
Pb2 0.5000 0.0000 0.0000
Au1 0.0000 0.0000 0.5000
Br1 0.5000 0.5000 0.5000
```

Calculated values
Distance to the lowest polymorph of the same formula ... 176 meV per atom

[2]
Compound: Pb2AuBr
Source: Alexandria
Functional: GGA-PBEsol
Structure: optimized geometry

CIF file:
```
data_Pb2AuBr
_cell_length_a 3.9141
_cell_length_b 3.9141
_cell_length_c 8.5719
_cell_angle_alpha 103.33
_cell_angle_beta 103.33
_cell_angle_gamma 60.16
_symmetry_space_group_name_H-M 'P 1'
_symmetry_Int_Tables_number 1
loop_
_symmetry_equiv_pos_as_xyz
'x,y,z'
loop_
_atom_site_label
_atom_site_fract_x
_atom_site_fract_y
_atom_site_fract_z
Pb1 0.2399 0.2399 0.2194
Pb2 0.7601 0.7601 0.7806
Au1 0.5000 0.5000 0.0000
Br1 0.0000 0.0000 0.5000
```

Calculated values
Distance to the lowest polymorph of the same formula ... 0 meV per atom

[3]
Compound: PtAu2Br
Source: Alexandria
Functional: GGA-PBEsol
Structure: optimized geometry

CIF file:
```
data_PtAu2Br
_cell_length_a 8.1395
_cell_length_b 8.1395
_cell_length_c 8.1395
_cell_angle_alpha 23.31
_cell_angle_beta 23.31
_cell_angle_gamma 23.31
_symmetry_space_group_name_H-M 'P 1'
_symmetry_Int_Tables_number 1
loop_
_symmetry_equiv_pos_as_xyz
'x,y,z'
loop_
_atom_site_label
_atom_site_fract_x
_atom_site_fract_y
_atom_site_fract_z
Pt1 0.0000 0.0000 0.0000
Au1 0.2546 0.2546 0.2546
Au2 0.5051 0.5051 0.5051
Br1 0.7450 0.7450 0.7450
```

Calculated values
Distance to the lowest polymorph of the same formula ... 0 meV per atom

[4]
Compound: PtAuBr
Source: Alexandria
Functional: GGA-PBEsol
Structure: optimized geometry

CIF file:
```
data_PtAuBr
_cell_length_a 7.1107
_cell_length_b 6.7510
_cell_length_c 3.1293
_cell_angle_alpha 83.47
_cell_angle_beta 70.61
_cell_angle_gamma 25.93
_symmetry_space_group_name_H-M 'P 1'
_symmetry_Int_Tables_number 1
loop_
_symmetry_equiv_pos_as_xyz
'x,y,z'
loop_
_atom_site_label
_atom_site_fract_x
_atom_site_fract_y
_atom_site_fract_z
Pt1 0.0000 0.0000 0.0000
Au1 0.3377 0.3377 0.6623
Br1 0.6570 0.6570 0.3430
```

[5]
Compound: PtAu2Br
Source: Alexandria
Functional: GGA-PBEsol
Structure: optimized geometry

CIF file:
```
data_PtAu2Br
_cell_length_a 5.3048
_cell_length_b 5.3048
_cell_length_c 5.3048
_cell_angle_alpha 136.28
_cell_angle_beta 136.28
_cell_angle_gamma 63.55
_symmetry_space_group_name_H-M 'P 1'
_symmetry_Int_Tables_number 1
loop_
_symmetry_equiv_pos_as_xyz
'x,y,z'
loop_
_atom_site_label
_atom_site_fract_x
_atom_site_fract_y
_atom_site_fract_z
Pt1 0.0000 0.0000 0.0000
Au1 0.2500 0.7500 0.5000
Au2 0.7500 0.2500 0.5000
Br1 0.5000 0.5000 0.0000
```

Calculated values
Distance to the lowest polymorph of the same formula ... 176 meV per atom

[6]
Compound: PtAuSe2Br
Source: Alexandria
Functional: GGA-PBEsol
Structure: optimized geometry

CIF file:
```
data_PtAuSe2Br
_cell_length_a 4.8727
_cell_length_b 4.8727
_cell_length_c 5.0253
_cell_angle_alpha 90.00
_cell_angle_beta 90.00
_cell_angle_gamma 90.00
_symmetry_space_group_name_H-M 'P 1'
_symmetry_Int_Tables_number 1
loop_
_symmetry_equiv_pos_as_xyz
'x,y,z'
loop_
_atom_site_label
_atom_site_fract_x
_atom_site_fract_y
_atom_site_fract_z
Pt1 0.0000 0.0000 0.0000
Au1 0.5000 0.5000 0.5000
Se1 0.0000 0.5000 0.0000
Se2 0.5000 0.0000 0.0000
Br1 0.0000 0.0000 0.5000
```

Formation energy without anion corrections: -0.0897 -0.2656 0.3308 0.4508 0.5063 0.6500 (eV per atom)